{
  "formula": "Tl2AgAsBr6",
  "functional": "PBE-GGA",
  "state": "relaxed",
  "density_g_cm3": 5.62,
  "crystal_system": "monoclinic",
  "m_tot_mub_per_cell": 0.00,
  "volume_a3_per_atom": 31.654,
  "e_form_raw_ev_per_atom": -0.577,
  "lattice": [[7.482, 0.000, -0.097], [0.000, 7.820, 0.000], [0.083, 0.000, 10.819]],
  "species": ["As", "Br", "Br", "Br", "Br", "Br", "Br", "Ag", "Tl", "Tl", "Br", "Br", "Tl", "As", "Tl", "Br", "Br", "Br", "Ag", "Br"],
  "fractional_positions": [[0.500, 0.000, 0.500], [0.692, 0.712, 0.464], [0.808, 0.212, 0.036], [0.792, 0.193, 0.461], [0.078, 0.508, 0.243], [0.208, 0.807, 0.539], [0.308, 0.288, 0.536], [0.000, 0.500, 0.500], [0.023, 0.075, 0.751], [0.523, 0.425, 0.251], [0.292, 0.307, 0.961], [0.422, 0.008, 0.257], [0.477, 0.575, 0.749], [0.000, 0.500, 0.000], [0.977, 0.925, 0.249], [0.922, 0.492, 0.757], [0.578, 0.992, 0.743], [0.192, 0.788, 0.964], [0.500, 0.000, 0.000], [0.708, 0.693, 0.039]]
}

---

{
  "formula": "CaLa12Pb4N3",
  "functional": "PBE-GGA",
  "state": "relaxed",
  "density_g_cm3": 7.61,
  "crystal_system": "cubic",
  "m_tot_mub_per_cell": 0.00,
  "volume_a3_per_atom": 28.113,
  "e_form_raw_ev_per_atom": -0.562,
  "lattice": [[9.006, 0.000, 0.000], [-3.002, 8.491, 0.000], [-3.002, -4.245, 7.353]],
  "species": ["Pb", "La", "Pb", "La", "Ca", "La", "Pb", "La", "Pb", "N", "La", "La", "La", "N", "La", "N", "La", "La", "La", "La"],
  "fractional_positions": [[0.000, 0.500, 0.000], [0.250, 0.750, 0.500], [0.500, 0.500, 0.500], [0.500, 0.750, 0.250], [0.000, 0.000, 0.000], [0.750, 0.500, 0.250], [0.500, 0.000, 0.000], [0.270, 0.270, 0.000], [0.000, 0.000, 0.500], [0.000, 0.500, 0.500], [0.750, 0.250, 0.500], [0.730, 0.000, 0.730], [0.500, 0.250, 0.750], [0.500, 0.500, 0.000], [0.270, 0.000, 0.270], [0.500, 0.000, 0.500], [0.250, 0.500, 0.750], [0.000, 0.270, 0.270], [0.730, 0.730, 0.000], [0.000, 0.730, 0.730]]
}

---

{
  "formula": "PuZr2N3",
  "functional": "PBE-GGA",
  "state": "relaxed",
  "density_g_cm3": 9.91,
  "crystal_system": "tetragonal",
  "m_tot_mub_per_cell": 4.54,
  "relative_energy_kj_per_mol_atoms": 1.96,
  "volume_a3_per_atom": 13.087,
  "e_form_raw_ev_per_atom": -1.555,
  "lattice": [[3.249, 0.000, -0.741], [-0.168, 3.245, -0.741], [-0.011, -0.011, 7.454]],
  "species": ["N", "N", "Zr", "N", "Zr", "Pu"],
  "fractional_positions": [[0.934, 0.936, 0.874], [0.264, 0.265, 0.533], [0.104, 0.106, 0.214], [0.605, 0.606, 0.215], [0.764, 0.766, 0.534], [0.434, 0.436, 0.874]]
}

---

{
  "formula": "ZnAgSb",
  "functional": "PBE-GGA",
  "state": "relaxed",
  "density_g_cm3": 7.87,
  "crystal_system": "tetragonal",
  "m_tot_mub_per_cell": 0.00,
  "volume_a3_per_atom": 20.759,
  "e_form_raw_ev_per_atom": 0.142,
  "lattice": [[-3.988, -5.198, -1.608], [-1.635, -5.430, -3.653], [1.198, -2.370, 1.649]],
  "species": ["Sb", "Zn", "Ag"],
  "fractional_positions": [[0.333, 0.333, 0.667], [0.649, 0.649, 0.351], [0.018, 0.018, 0.982]]
}

---

{
  "formula": "CeHoSc",
  "functional": "PBE-GGA",
  "state": "relaxed",
  "density_g_cm3": 6.78,
  "crystal_system": "orthorhombic",
  "m_tot_mub_per_cell": 1.34,
  "relative_energy_kj_per_mol_atoms": 15.14,
  "delta_e_f_ev_per_atom": 0.23,
  "volume_a3_per_atom": 28.594,
  "lattice": [[8.162, 0.000, 0.000], [-4.081, 4.524, -0.753], [0.000, -3.598, 5.245]],
  "species": ["Ho", "Sc", "Ce", "Ce", "Ho", "Sc"],
  "fractional_positions": [[0.250, 0.000, 0.604], [0.357, 0.500, 0.250], [0.665, 0.330, 0.415], [0.835, 0.670, 0.085], [0.750, 0.000, 0.896], [0.143, 0.500, 0.750]]
}

---

{
  "formula": "NaSrCoB2",
  "functional": "PBE-GGA",
  "state": "relaxed",
  "density_g_cm3": 3.02,
  "crystal_system": "tetragonal",
  "m_tot_mub_per_cell": 1.89,
  "delta_e_f_ev_per_atom": 2.23,
  "volume_a3_per_atom": 21.003,
  "lattice": [[-1.912, 2.732, 3.083], [0.976, -3.001, 3.265], [4.487, 2.285, 0.759]],
  "species": ["Sr", "Co", "Na", "B", "B"],
  "fractional_positions": [[0.000, 0.000, 0.500], [0.500, 0.500, 0.500], [0.000, 0.000, 0.000], [0.000, 0.500, 0.000], [0.500, 0.000, 0.000]]
}

---

{
  "formula": "MnCr2Ag",
  "functional": "PBE-GGA",
  "state": "relaxed",
  "density_g_cm3": 8.08,
  "crystal_system": "monoclinic",
  "m_tot_mub_per_cell": 0.45,
  "relative_energy_kj_per_mol_atoms": 23.01,
  "delta_e_f_ev_per_atom": 0.54,
  "volume_a3_per_atom": 13.701,
  "lattice": [[-0.451, -4.380, 1.503], [1.574, -4.363, -0.361], [3.139, -0.420, 3.407]],
  "species": ["Cr", "Mn", "Ag", "Cr"],
  "fractional_positions": [[0.018, 0.018, 0.970], [0.483, 0.483, 0.529], [0.249, 0.249, 0.251], [0.749, 0.749, 0.750]]
}

---

{
  "formula": "Re2SiPb",
  "functional": "PBE-GGA",
  "state": "relaxed",
  "density_g_cm3": 12.72,
  "crystal_system": "tetragonal",
  "m_tot_mub_per_cell": 0.00,
  "relative_energy_kj_per_mol_atoms": 46.01,
  "volume_a3_per_atom": 19.830,
  "e_form_raw_ev_per_atom": 0.826,
  "lattice": [[4.214, 0.000, 0.000], [0.000, 4.214, 0.000], [2.107, 2.107, 8.933]],
  "species": ["Si", "Re", "Pb", "Pb", "Re", "Re", "Si", "Re"],
  "fractional_positions": [[0.250, 0.750, 0.500], [0.375, 0.472, 0.750], [0.750, 0.250, 0.500], [0.000, 0.000, 0.000], [0.875, 0.778, 0.750], [0.222, 0.625, 0.250], [0.500, 0.500, 0.000], [0.528, 0.125, 0.250]]
}

---

{
  "formula": "Tl2CuW",
  "functional": "PBE-GGA",
  "state": "relaxed",
  "density_g_cm3": 12.76,
  "crystal_system": "tetragonal",
  "m_tot_mub_per_cell": 0.00,
  "relative_energy_kj_per_mol_atoms": 54.10,
  "delta_e_f_ev_per_atom": 1.20,
  "volume_a3_per_atom": 21.352,
  "lattice": [[4.209, 0.000, 0.000], [0.000, 4.209, 0.000], [2.104, 2.104, 9.643]],
  "species": ["Tl", "W", "Cu", "W", "Tl", "Tl", "Tl", "Cu"],
  "fractional_positions": [[0.375, 0.373, 0.750], [0.750, 0.250, 0.500], [0.500, 0.500, 0.000], [0.000, 0.000, 0.000], [0.627, 0.125, 0.250], [0.123, 0.625, 0.250], [0.875, 0.877, 0.750], [0.250, 0.750, 0.500]]
}

---

{
  "formula": "Y4SnB3Rh12",
  "functional": "PBE-GGA",
  "state": "relaxed",
  "density_g_cm3": 8.70,
  "crystal_system": "cubic",
  "m_tot_mub_per_cell": 0.00,
  "delta_e_f_ev_per_atom": -0.57,
  "volume_a3_per_atom": 16.614,
  "lattice": [[-5.391, 0.297, -5.288], [2.549, -7.089, 0.603], [-2.854, 2.224, 6.635]],
  "species": ["Rh", "Rh", "Rh", "B", "Rh", "Rh", "Y", "Y", "Y", "Sn", "Rh", "Rh", "Y", "Rh", "B", "B", "Rh", "Rh", "Rh", "Rh"],
  "fractional_positions": [[0.279, 0.279, 0.000], [0.279, 0.000, 0.279], [0.750, 0.500, 0.250], [0.000, 0.500, 0.500], [0.000, 0.279, 0.279], [0.750, 0.250, 0.500], [0.500, 0.000, 0.000], [0.000, 0.500, 0.000], [0.500, 0.500, 0.500], [0.000, 0.000, 0.000], [0.500, 0.750, 0.250], [0.721, 0.721, 0.000], [0.000, 0.000, 0.500], [0.500, 0.250, 0.750], [0.500, 0.500, 0.000], [0.500, 0.000, 0.500], [0.721, 0.000, 0.721], [0.000, 0.721, 0.721], [0.250, 0.750, 0.500], [0.250, 0.500, 0.750]]
}

---

{
  "formula": "Er2SF3",
  "functional": "PBE-GGA",
  "state": "relaxed",
  "density_g_cm3": 6.93,
  "crystal_system": "monoclinic",
  "m_tot_mub_per_cell": 0.00,
  "volume_a3_per_atom": 16.906,
  "e_form_raw_ev_per_atom": -3.204,
  "lattice": [[3.725, 0.000, 0.000], [1.862, 6.823, 1.152], [1.862, 3.244, 8.531]],
  "species": ["Er", "F", "F", "Er", "Er", "F", "S", "Er", "F", "S", "F", "F"],
  "fractional_positions": [[0.880, 0.286, 0.954], [0.128, 0.987, 0.758], [0.872, 0.013, 0.242], [0.120, 0.714, 0.046], [0.627, 0.150, 0.597], [0.288, 0.348, 0.076], [0.426, 0.447, 0.701], [0.373, 0.850, 0.403], [0.712, 0.652, 0.924], [0.574, 0.553, 0.299], [0.799, 0.853, 0.549], [0.201, 0.147, 0.451]]
}

---

{
  "formula": "Cs2Cd2Ga",
  "functional": "PBE-GGA",
  "state": "relaxed",
  "density_g_cm3": 4.78,
  "crystal_system": "tetragonal",
  "m_tot_mub_per_cell": 0.00,
  "relative_energy_kj_per_mol_atoms": 0.00,
  "delta_e_f_ev_per_atom": 0.09,
  "volume_a3_per_atom": 38.908,
  "lattice": [[7.763, 0.000, 0.000], [0.000, 7.763, 0.000], [0.000, 0.000, 6.456]],
  "species": ["Ga", "Cs", "Cs", "Cs", "Cd", "Cd", "Cd", "Cd", "Cs", "Ga"],
  "fractional_positions": [[0.500, 0.500, 0.000], [0.323, 0.177, 0.500], [0.177, 0.677, 0.500], [0.823, 0.323, 0.500], [0.353, 0.853, 0.000], [0.853, 0.647, 0.000], [0.647, 0.147, 0.000], [0.147, 0.353, 0.000], [0.677, 0.823, 0.500], [0.000, 0.000, 0.000]]
}